[1]
Ce2TmGa2: optimized geometry, PBE.

Summary:
Size of the total moment (μB/f.u.): 1.3
Energy above the lowest structure with this stoichiometry (meV/atom): 61
ΔH_f (0 K) (meV/atom): -353

CIF file:
```
data_Ce2TmGa2
_chemical_formula_sum 'Ce4 Tm2 Ga4'
_cell_length_a 6.168
_cell_length_b 4.279
_cell_length_c 9.712
_cell_angle_alpha 90.00
_cell_angle_beta 105.18
_cell_angle_gamma 90.00
_symmetry_space_group_name_H-M 'P 1 21/m 1'
_symmetry_Int_Tables_number 11
_symmetry_space_group_name_Hall '-P 2yb'
loop_
_atom_site_label
_atom_site_type_symbol
_atom_site_fract_x
_atom_site_fract_y
_atom_site_fract_z
_atom_site_occupancy
Ce1 Ce 0.056 0.250 0.337 1
Ce2 Ce 0.129 0.250 0.062 1
Tm1 Tm 0.450 0.250 0.738 1
Ga1 Ga 0.368 0.750 0.520 1
Ga2 Ga 0.368 0.750 0.934 1
```

[2]
CeTm4Ga15: optimized geometry, PBE.

Summary:
Size of the total moment (μB/f.u.): 0.0
ΔH_f (0 K) (meV/atom): -518

CIF file:
```
data_CeTm4Ga15
_chemical_formula_sum 'Ce1 Tm4 Ga15'
_cell_length_a 4.245
_cell_length_b 4.245
_cell_length_c 21.383
_cell_angle_alpha 90.00
_cell_angle_beta 90.00
_cell_angle_gamma 90.00
_symmetry_space_group_name_H-M 'P 4/m m m'
_symmetry_Int_Tables_number 123
_symmetry_space_group_name_Hall '-P 4 2'
loop_
_atom_site_label
_atom_site_type_symbol
_atom_site_fract_x
_atom_site_fract_y
_atom_site_fract_z
_atom_site_occupancy
Ce1 Ce 0.000 0.000 0.000 1
Tm1 Tm 0.000 0.000 0.203 1
Tm2 Tm 0.000 0.000 0.401 1
Ga1 Ga 0.000 0.500 0.103 1
Ga2 Ga 0.000 0.500 0.302 1
Ga3 Ga 0.000 0.500 0.500 1
Ga4 Ga 0.500 0.500 0.000 1
Ga5 Ga 0.500 0.500 0.201 1
Ga6 Ga 0.500 0.500 0.401 1
```

[3]
Ce2TmGa2: optimized geometry, PBE.

Summary:
Size of the total moment (μB/f.u.): 1.2
Energy above the lowest structure with this stoichiometry (meV/atom): 0
ΔH_f (0 K) (meV/atom): -414

CIF file:
```
data_Ce2TmGa2
_chemical_formula_sum 'Ce4 Tm2 Ga4'
_cell_length_a 7.656
_cell_length_b 7.656
_cell_length_c 4.421
_cell_angle_alpha 90.00
_cell_angle_beta 90.00
_cell_angle_gamma 90.00
_symmetry_space_group_name_H-M 'P 4/m b m'
_symmetry_Int_Tables_number 127
_symmetry_space_group_name_Hall '-P 4 2ab'
loop_
_atom_site_label
_atom_site_type_symbol
_atom_site_fract_x
_atom_site_fract_y
_atom_site_fract_z
_atom_site_occupancy
Ce1 Ce 0.170 0.330 0.000 1
Tm1 Tm 0.000 0.000 0.500 1
Ga1 Ga 0.123 0.623 0.500 1
```

[4]
Ce2TmGa3: optimized geometry, PBE.

Summary:
Size of the total moment (μB/f.u.): 1.4
ΔH_f (0 K) (meV/atom): -497

CIF file:
```
data_Ce2TmGa3
_chemical_formula_sum 'Ce4 Tm2 Ga6'
_cell_length_a 5.0867
_cell_length_b 5.0867
_cell_length_c 12.5416
_cell_angle_alpha 90.00
_cell_angle_beta 90.00
_cell_angle_gamma 120.00
_symmetry_space_group_name_H-M 'P -3 m 1'
_symmetry_Int_Tables_number 164
_symmetry_space_group_name_Hall '-P 3 2"'
loop_
_atom_site_label
_atom_site_type_symbol
_atom_site_fract_x
_atom_site_fract_y
_atom_site_fract_z
_atom_site_occupancy
Ce1 Ce 0.0000 0.0000 0.0000 1
Ce2 Ce 0.0000 0.0000 0.5000 1
Ce3 Ce 0.3333 0.6667 0.1711 1
Tm1 Tm 0.3333 0.6667 0.6664 1
Ga1 Ga 0.0000 0.0000 0.2546 1
Ga2 Ga 0.3333 0.6667 0.4181 1
Ga3 Ga 0.3333 0.6667 0.9132 1
```

[5]
Ce3TmGa8: optimized geometry, PBE.

Summary:
Size of the total moment (μB/f.u.): 2.7
ΔH_f (0 K) (meV/atom): -521

CIF file:
```
data_Ce3TmGa8
_chemical_formula_sum 'Ce9 Tm3 Ga24'
_cell_length_a 5.5504
_cell_length_b 5.5504
_cell_length_c 27.2578
_cell_angle_alpha 90.00
_cell_angle_beta 90.00
_cell_angle_gamma 120.00
_symmetry_space_group_name_H-M 'R 3 m'
_symmetry_Int_Tables_number 160
_symmetry_space_group_name_Hall 'R 3 -2"'
loop_
_atom_site_label
_atom_site_type_symbol
_atom_site_fract_x
_atom_site_fract_y
_atom_site_fract_z
_atom_site_occupancy
Ce1 Ce 0.0000 0.0000 0.0000 1
Ce2 Ce 0.0000 0.0000 0.1239 1
Ce3 Ce 0.0000 0.0000 0.6275 1
Tm1 Tm 0.0000 0.0000 0.5011 1
Ga1 Ga 0.0000 0.0000 0.3124 1
Ga2 Ga 0.0000 0.0000 0.8134 1
Ga3 Ga 0.0013 0.5007 0.0645 1
Ga4 Ga 0.1674 0.3348 0.8951 1
```

[6]
Ce4TmGa4: optimized geometry, PBE.

Summary:
Size of the total moment (μB/f.u.): 2.3
ΔH_f (0 K) (meV/atom): -263

CIF file:
```
data_Ce4TmGa4
_chemical_formula_sum 'Ce8 Tm2 Ga8'
_cell_length_a 8.562
_cell_length_b 8.562
_cell_length_c 5.873
_cell_angle_alpha 90.00
_cell_angle_beta 90.00
_cell_angle_gamma 90.00
_symmetry_space_group_name_H-M 'P 42/n'
_symmetry_Int_Tables_number 86
loop_
_symmetry_equiv_pos_as_xyz
'x,y,z'
'-x,-y,-z'
'-y,x+1/2,z+1/2'
'y,-x+1/2,-z+1/2'
'-x+1/2,-y+1/2,z'
'x+1/2,y+1/2,-z'
'y+1/2,-x,z+1/2'
'-y+1/2,x,-z+1/2'
loop_
_atom_site_label
_atom_site_type_symbol
_atom_site_fract_x
_atom_site_fract_y
_atom_site_fract_z
_atom_site_occupancy
Ce1 Ce 0.099 0.818 0.118 1
Tm1 Tm 0.250 0.250 0.750 1
Ga1 Ga 0.060 0.140 0.360 1
```

[7]
Ce3TmGa4: optimized geometry, PBE.

Summary:
Size of the total moment (μB/f.u.): 0.3
ΔH_f (0 K) (meV/atom): -509

CIF file:
```
data_Ce3TmGa4
_chemical_formula_sum 'Ce3 Tm1 Ga4'
_cell_length_a 3.329
_cell_length_b 3.329
_cell_length_c 16.447
_cell_angle_alpha 90.00
_cell_angle_beta 90.00
_cell_angle_gamma 90.00
_symmetry_space_group_name_H-M 'P 4/m m m'
_symmetry_Int_Tables_number 123
_symmetry_space_group_name_Hall '-P 4 2'
loop_
_atom_site_label
_atom_site_type_symbol
_atom_site_fract_x
_atom_site_fract_y
_atom_site_fract_z
_atom_site_occupancy
Ce1 Ce 0.000 0.000 0.000 1
Ce2 Ce 0.000 0.000 0.257 1
Tm1 Tm 0.000 0.000 0.500 1
Ga1 Ga 0.500 0.500 0.128 1
Ga2 Ga 0.500 0.500 0.383 1
```

[8]
Ce2Tm5Ga4: optimized geometry, PBE.

Summary:
Size of the total moment (μB/f.u.): 0.0
ΔH_f (0 K) (meV/atom): -225

CIF file:
```
data_Ce2Tm5Ga4
_chemical_formula_sum 'Ce4 Tm10 Ga8'
_cell_length_a 3.574
_cell_length_b 8.338
_cell_length_c 19.638
_cell_angle_alpha 90.00
_cell_angle_beta 90.00
_cell_angle_gamma 90.00
_symmetry_space_group_name_H-M 'I m m m'
_symmetry_Int_Tables_number 71
_symmetry_space_group_name_Hall '-I 2 2'
loop_
_atom_site_label
_atom_site_type_symbol
_atom_site_fract_x
_atom_site_fract_y
_atom_site_fract_z
_atom_site_occupancy
Ce1 Ce 0.000 0.000 0.070 1
Tm1 Tm 0.000 0.218 0.338 1
Tm2 Tm 0.000 0.500 0.000 1
Ga1 Ga 0.000 0.000 0.220 1
Ga2 Ga 0.000 0.265 0.500 1
```

[9]
CeTm4Ga4: optimized geometry, PBE.

Summary:
Size of the total moment (μB/f.u.): 1.0
ΔH_f (0 K) (meV/atom): -296

CIF file:
```
data_CeTm4Ga4
_chemical_formula_sum 'Ce2 Tm8 Ga8'
_cell_length_a 9.167
_cell_length_b 9.167
_cell_length_c 5.806
_cell_angle_alpha 90.00
_cell_angle_beta 90.00
_cell_angle_gamma 90.00
_symmetry_space_group_name_H-M 'P 42/n'
_symmetry_Int_Tables_number 86
loop_
_symmetry_equiv_pos_as_xyz
'x,y,z'
'-x,-y,-z'
'-y,x+1/2,z+1/2'
'y,-x+1/2,-z+1/2'
'-x+1/2,-y+1/2,z'
'x+1/2,y+1/2,-z'
'y+1/2,-x,z+1/2'
'-y+1/2,x,-z+1/2'
loop_
_atom_site_label
_atom_site_type_symbol
_atom_site_fract_x
_atom_site_fract_y
_atom_site_fract_z
_atom_site_occupancy
Ce1 Ce 0.250 0.250 0.250 1
Tm1 Tm 0.081 0.653 0.131 1
Ga1 Ga 0.031 0.610 0.628 1
```

[10]
CeTm2Ga4: optimized geometry, PBE.

Summary:
Size of the total moment (μB/f.u.): 0.7
ΔH_f (0 K) (meV/atom): -610

CIF file:
```
data_CeTm2Ga4
_chemical_formula_sum 'Ce2 Tm4 Ga8'
_cell_length_a 4.115
_cell_length_b 4.275
_cell_length_c 18.103
_cell_angle_alpha 90.00
_cell_angle_beta 90.00
_cell_angle_gamma 90.00
_symmetry_space_group_name_H-M 'I m m m'
_symmetry_Int_Tables_number 71
_symmetry_space_group_name_Hall '-I 2 2'
loop_
_atom_site_label
_atom_site_type_symbol
_atom_site_fract_x
_atom_site_fract_y
_atom_site_fract_z
_atom_site_occupancy
Ce1 Ce 0.000 0.000 0.000 1
Tm1 Tm 0.000 0.500 0.315 1
Ga1 Ga 0.000 0.000 0.432 1
Ga2 Ga 0.000 0.500 0.149 1
```

[11]
CeTm2Ga: optimized geometry, PBE.

Summary:
Size of the total moment (μB/f.u.): 1.3
Energy above the lowest structure with this stoichiometry (meV/atom): 243
ΔH_f (0 K) (meV/atom): -10

CIF file:
```
data_CeTm2Ga
_chemical_formula_sum 'Ce3 Tm6 Ga3'
_cell_length_a 4.8964
_cell_length_b 4.8964
_cell_length_c 16.4651
_cell_angle_alpha 90.00
_cell_angle_beta 90.00
_cell_angle_gamma 120.00
_symmetry_space_group_name_H-M 'R 3 m'
_symmetry_Int_Tables_number 160
_symmetry_space_group_name_Hall 'R 3 -2"'
loop_
_atom_site_label
_atom_site_type_symbol
_atom_site_fract_x
_atom_site_fract_y
_atom_site_fract_z
_atom_site_occupancy
Ce1 Ce 0.0000 0.0000 0.0000 1
Tm1 Tm 0.0000 0.0000 0.5579 1
Tm2 Tm 0.0000 0.0000 0.7850 1
Ga1 Ga 0.0000 0.0000 0.1986 1
```

[12]
CeTm2Ga9: optimized geometry, PBE.

Summary:
Size of the total moment (μB/f.u.): 0.0
ΔH_f (0 K) (meV/atom): -518

CIF file:
```
data_CeTm2Ga9
_chemical_formula_sum 'Ce1 Tm2 Ga9'
_cell_length_a 4.269
_cell_length_b 4.269
_cell_length_c 12.807
_cell_angle_alpha 90.00
_cell_angle_beta 90.00
_cell_angle_gamma 90.00
_symmetry_space_group_name_H-M 'P 4/m m m'
_symmetry_Int_Tables_number 123
_symmetry_space_group_name_Hall '-P 4 2'
loop_
_atom_site_label
_atom_site_type_symbol
_atom_site_fract_x
_atom_site_fract_y
_atom_site_fract_z
_atom_site_occupancy
Ce1 Ce 0.000 0.000 0.000 1
Tm1 Tm 0.000 0.000 0.337 1
Ga1 Ga 0.000 0.500 0.171 1
Ga2 Ga 0.000 0.500 0.500 1
Ga3 Ga 0.500 0.500 0.000 1
Ga4 Ga 0.500 0.500 0.334 1
```

[13]
CeTm2Ga2: optimized geometry, PBE.

Summary:
Size of the total moment (μB/f.u.): 1.8
ΔH_f (0 K) (meV/atom): -305

CIF file:
```
data_CeTm2Ga2
_chemical_formula_sum 'Ce2 Tm4 Ga4'
_cell_length_a 5.412
_cell_length_b 3.899
_cell_length_c 12.470
_cell_angle_alpha 90.00
_cell_angle_beta 96.96
_cell_angle_gamma 90.00
_symmetry_space_group_name_H-M 'P 1 21/m 1'
_symmetry_Int_Tables_number 11
_symmetry_space_group_name_Hall '-P 2yb'
loop_
_atom_site_label
_atom_site_type_symbol
_atom_site_fract_x
_atom_site_fract_y
_atom_site_fract_z
_atom_site_occupancy
Ce1 Ce 0.176 0.250 0.231 1
Tm1 Tm 0.240 0.750 0.467 1
Tm2 Tm 0.348 0.250 0.890 1
Ga1 Ga 0.141 0.750 0.032 1
Ga2 Ga 0.293 0.250 0.656 1
```

[14]
Ce12TmGa6: optimized geometry, PBE.

Summary:
Size of the total moment (μB/f.u.): 8.0
ΔH_f (0 K) (meV/atom): -118

CIF file:
```
data_Ce12TmGa6
_chemical_formula_sum 'Ce36 Tm3 Ga18'
_cell_length_a 13.0205
_cell_length_b 13.0205
_cell_length_c 10.5424
_cell_angle_alpha 90.00
_cell_angle_beta 90.00
_cell_angle_gamma 120.00
_symmetry_space_group_name_H-M 'R -3 m'
_symmetry_Int_Tables_number 166
_symmetry_space_group_name_Hall '-R 3 2"'
loop_
_atom_site_label
_atom_site_type_symbol
_atom_site_fract_x
_atom_site_fract_y
_atom_site_fract_z
_atom_site_occupancy
Ce1 Ce 0.0000 0.3966 0.0000 1
Ce2 Ce 0.0902 0.1804 0.8114 1
Tm1 Tm 0.0000 0.0000 0.5000 1
Ga1 Ga 0.0434 0.5217 0.7447 1
```

[15]
CeTm6Ga3: optimized geometry, PBE.

Summary:
Size of the total moment (μB/f.u.): 1.3
ΔH_f (0 K) (meV/atom): -279

CIF file:
```
data_CeTm6Ga3
_chemical_formula_sum 'Ce4 Tm24 Ga12'
_cell_length_a 10.544
_cell_length_b 12.542
_cell_length_c 8.186
_cell_angle_alpha 90.00
_cell_angle_beta 90.00
_cell_angle_gamma 90.00
_symmetry_space_group_name_H-M 'C m c 21'
_symmetry_Int_Tables_number 36
_symmetry_space_group_name_Hall 'C 2c -2'
loop_
_atom_site_label
_atom_site_type_symbol
_atom_site_fract_x
_atom_site_fract_y
_atom_site_fract_z
_atom_site_occupancy
Ce1 Ce 0.000 0.169 0.000 1
Tm1 Tm 0.000 0.276 0.494 1
Tm2 Tm 0.000 0.466 0.164 1
Tm3 Tm 0.166 0.067 0.642 1
Tm4 Tm 0.233 0.322 0.784 1
Ga1 Ga 0.000 0.072 0.339 1
Ga2 Ga 0.202 0.419 0.443 1
```

[16]
CeTm4Ga5: optimized geometry, PBE.

Summary:
Size of the total moment (μB/f.u.): 0.5
ΔH_f (0 K) (meV/atom): -552

CIF file:
```
data_CeTm4Ga5
_chemical_formula_sum 'Ce1 Tm4 Ga5'
_cell_length_a 3.488
_cell_length_b 3.488
_cell_length_c 18.288
_cell_angle_alpha 90.00
_cell_angle_beta 90.00
_cell_angle_gamma 90.00
_symmetry_space_group_name_H-M 'P 4/m m m'
_symmetry_Int_Tables_number 123
_symmetry_space_group_name_Hall '-P 4 2'
loop_
_atom_site_label
_atom_site_type_symbol
_atom_site_fract_x
_atom_site_fract_y
_atom_site_fract_z
_atom_site_occupancy
Ce1 Ce 0.000 0.000 0.000 1
Tm1 Tm 0.000 0.000 0.207 1
Tm2 Tm 0.000 0.000 0.402 1
Ga1 Ga 0.500 0.500 0.109 1
Ga2 Ga 0.500 0.500 0.305 1
Ga3 Ga 0.500 0.500 0.500 1
```

[17]
CeTmGa6: optimized geometry, PBE.

Summary:
Size of the total moment (μB/f.u.): 0.2
ΔH_f (0 K) (meV/atom): -523

CIF file:
```
data_CeTmGa6
_chemical_formula_sum 'Ce1 Tm1 Ga6'
_cell_length_a 6.2794
_cell_length_b 6.2794
_cell_length_c 4.5924
_cell_angle_alpha 90.00
_cell_angle_beta 90.00
_cell_angle_gamma 120.00
_symmetry_space_group_name_H-M 'P -6 m 2'
_symmetry_Int_Tables_number 187
_symmetry_space_group_name_Hall 'P -6 2'
loop_
_atom_site_label
_atom_site_type_symbol
_atom_site_fract_x
_atom_site_fract_y
_atom_site_fract_z
_atom_site_occupancy
Ce1 Ce 0.0000 0.0000 0.0000 1
Tm1 Tm 0.6667 0.3333 0.5000 1
Ga1 Ga 0.0348 0.5174 0.0000 1
Ga2 Ga 0.1869 0.3739 0.5000 1
```

[18]
CeTm2Ga: optimized geometry, PBE.

Summary:
Size of the total moment (μB/f.u.): 0.9
Energy above the lowest structure with this stoichiometry (meV/atom): 0
ΔH_f (0 K) (meV/atom): -253

CIF file:
```
data_CeTm2Ga
_chemical_formula_sum 'Ce1 Tm2 Ga1'
_cell_length_a 3.443
_cell_length_b 3.443
_cell_length_c 8.788
_cell_angle_alpha 90.00
_cell_angle_beta 90.00
_cell_angle_gamma 90.00
_symmetry_space_group_name_H-M 'P 4/m m m'
_symmetry_Int_Tables_number 123
_symmetry_space_group_name_Hall '-P 4 2'
loop_
_atom_site_label
_atom_site_type_symbol
_atom_site_fract_x
_atom_site_fract_y
_atom_site_fract_z
_atom_site_occupancy
Ce1 Ce 0.000 0.000 0.000 1
Tm1 Tm 0.500 0.500 0.289 1
Ga1 Ga 0.000 0.000 0.500 1
```

[19]
Ce4TmGa5: optimized geometry, PBE.

Summary:
Size of the total moment (μB/f.u.): 0.1
ΔH_f (0 K) (meV/atom): -507

CIF file:
```
data_Ce4TmGa5
_chemical_formula_sum 'Ce4 Tm1 Ga5'
_cell_length_a 3.307
_cell_length_b 3.307
_cell_length_c 20.784
_cell_angle_alpha 90.00
_cell_angle_beta 90.00
_cell_angle_gamma 90.00
_symmetry_space_group_name_H-M 'P 4/m m m'
_symmetry_Int_Tables_number 123
_symmetry_space_group_name_Hall '-P 4 2'
loop_
_atom_site_label
_atom_site_type_symbol
_atom_site_fract_x
_atom_site_fract_y
_atom_site_fract_z
_atom_site_occupancy
Ce1 Ce 0.000 0.000 0.102 1
Ce2 Ce 0.000 0.000 0.306 1
Tm1 Tm 0.000 0.000 0.500 1
Ga1 Ga 0.500 0.500 0.000 1
Ga2 Ga 0.500 0.500 0.203 1
Ga3 Ga 0.500 0.500 0.406 1
```

[20]
Ce3TmGa2: optimized geometry, PBE.

Summary:
Size of the total moment (μB/f.u.): 0.0
ΔH_f (0 K) (meV/atom): -356

CIF file:
```
data_Ce3TmGa2
_chemical_formula_sum 'Ce12 Tm4 Ga8'
_cell_length_a 17.429
_cell_length_b 4.289
_cell_length_c 8.627
_cell_angle_alpha 90.00
_cell_angle_beta 116.27
_cell_angle_gamma 90.00
_symmetry_space_group_name_H-M 'C 1 2/m 1'
_symmetry_Int_Tables_number 12
_symmetry_space_group_name_Hall '-C 2y'
loop_
_atom_site_label
_atom_site_type_symbol
_atom_site_fract_x
_atom_site_fract_y
_atom_site_fract_z
_atom_site_occupancy
Ce1 Ce 0.069 0.000 0.445 1
Ce2 Ce 0.122 0.500 0.683 1
Ce3 Ce 0.214 0.500 0.399 1
Tm1 Tm 0.108 0.000 0.035 1
Ga1 Ga 0.018 0.500 0.168 1
Ga2 Ga 0.248 0.500 0.087 1
```

[21]
CeTm2Ga6: optimized geometry, PBE.

Summary:
Size of the total moment (μB/f.u.): 0.5
Energy above the lowest structure with this stoichiometry (meV/atom): 0
ΔH_f (0 K) (meV/atom): -579

CIF file:
```
data_CeTm2Ga6
_chemical_formula_sum 'Ce1 Tm2 Ga6'
_cell_length_a 7.5201
_cell_length_b 7.5201
_cell_length_c 3.7723
_cell_angle_alpha 90.00
_cell_angle_beta 90.00
_cell_angle_gamma 120.00
_symmetry_space_group_name_H-M 'P 6/m m m'
_symmetry_Int_Tables_number 191
_symmetry_space_group_name_Hall '-P 6 2'
loop_
_atom_site_label
_atom_site_type_symbol
_atom_site_fract_x
_atom_site_fract_y
_atom_site_fract_z
_atom_site_occupancy
Ce1 Ce 0.0000 0.0000 0.0000 1
Tm1 Tm 0.3333 0.6667 0.0000 1
Ga1 Ga 0.0000 0.3353 0.5000 1
```